Record 1
CsZnPdS2 | PBE | relaxed

Values from the calculation:
Density   5.1 g cm⁻³
ΔE_f (raw)   -3.1 eV/f.u.

a = 3.976 Å, b = 7.645 Å, c = 7.873 Å
α = 90.00°, β = 90.00°, γ = 90.00°
Space group Pccm (No. 49)
One atom of each set of equivalent atoms:
Cs: 0.000 0.000 0.250 (multiplicity 2)
Zn: 0.000 0.500 0.000 (multiplicity 2)
Pd: 0.500 0.500 0.250 (multiplicity 2)
S: 0.436 0.294 0.000 (multiplicity 4)

***

Record 2
KInHgI2 | PBE | relaxed

Values from the calculation:
Density   4.3 g cm⁻³
ΔE_f (raw)   -3.3 eV/f.u.
Excess energy over the best structure of this formula in the dataset   79 meV per atom

a = 6.447 Å, b = 6.447 Å, c = 5.616 Å
α = 90.00°, β = 90.00°, γ = 90.00°
Space group P4/mmm (No. 123)
One atom of each set of equivalent atoms:
K: 0.000 0.000 0.000 (multiplicity 1)
In: 0.500 0.500 0.500 (multiplicity 1)
Hg: 0.500 0.500 0.000 (multiplicity 1)
I: 0.000 0.500 0.500 (multiplicity 2)

***

Record 3
IrSe2I2 | PBE | relaxed

Values from the calculation:
Density   6.7 g cm⁻³
ΔE_f (raw)   3.5 eV/f.u.
Excess energy over the best structure of this formula in the dataset   621 meV per atom

a = 3.615 Å, b = 3.615 Å, c = 22.954 Å
α = 90.00°, β = 90.00°, γ = 90.00°
Space group I4/mmm (No. 139)
One atom of each set of equivalent atoms:
Ir: 0.000 0.000 0.000 (multiplicity 2)
Se: 0.000 0.500 0.250 (multiplicity 4)
I: 0.000 0.000 0.429 (multiplicity 4)

***

Question: The lowest density belongs to which entry?
Answer: KInHgI2

***

Question: What is the formula in the first record?
Answer: CsZnPdS2

***

Question: Which value of ΔE_f (raw) does entry 2 give?
Answer: -3.3 eV/f.u.

***

Question: Which formula does entry 1 have?
Answer: CsZnPdS2